Entry 1:
The following is a DFT calculation (PBE) of crystalline HfSn at its relaxed geometry.

a b c (Å): 6.036 6.036 4.991
angles (deg): 90.00 90.00 120.00
Atoms (fractional coordinates):
Sn (0.000, 0.000, 0.000)
Hf (0.000, 0.500, 0.000)
Sn (0.667, 0.333, 0.500)
Hf (0.500, 0.500, 0.000)
Sn (0.333, 0.667, 0.500)
Hf (0.500, 0.000, 0.000)

Total magnetic moment ... 0.0000 μB per atom
D(E_F) ... 0.959 states/eV per atom
Calculated total energy ... -7.12 eV per atom
Symmetry ... P6/mmm, No. 191



Entry 2:
The following is a DFT calculation (PBE) of crystalline SrHf2Sn2 at its relaxed geometry.

a b c (Å): 8.848 8.848 3.228
angles (deg): 90.00 90.00 90.00
Atoms (fractional coordinates):
Sn (0.327, 0.173, 0.500)
Hf (0.881, 0.619, 0.000)
Sr (0.000, 0.000, 0.000)
Hf (0.619, 0.119, 0.000)
Sr (0.500, 0.500, 0.000)
Hf (0.381, 0.881, 0.000)
Sn (0.827, 0.327, 0.500)
Hf (0.119, 0.381, 0.000)
Sn (0.673, 0.827, 0.500)
Sn (0.173, 0.673, 0.500)

ΔE to the lowest computed polymorph ... 0.000 eV/atom
Total magnetic moment ... 0.0000 μB per atom
D(E_F) ... 0.822 states/eV per atom
Calculated total energy ... -6.11 eV per atom
Symmetry ... P4/mbm, No. 127